[1]
A plane-wave DFT calculation with PBE was carried out for an optimized crystal structure of Mg3Zn3PtRh2.

Cell and atoms, written as POSCAR:
```
Mg3Zn3PtRh2
1.0
7.455 0.000 0.000
-3.727 6.456 0.000
0.000 0.000 2.939
Mg Zn Pt Rh
3 3 1 2
direct
0.000 0.705 0.000
0.295 0.295 0.000
0.705 0.000 0.000
0.000 0.385 0.500
0.385 0.000 0.500
0.615 0.615 0.500
0.000 0.000 0.500
0.333 0.667 0.000
0.667 0.333 0.000
```

## Properties
- E_form (eV/atom) = -0.43
- theoretical density (kg/m³) = 7865
- crystal system = hexagonal
- electronic total energy (eV per atom) = -3.693


[2]
A plane-wave DFT calculation with PBE was carried out for an optimized crystal structure of LaVCo2Re.

Cell and atoms, written as POSCAR:
```
LaVCo2Re
1.0
4.367 0.000 0.000
0.000 4.367 0.000
0.000 0.000 4.678
La V Co Re
1 1 2 1
direct
0.000 0.000 0.000
0.000 0.000 0.500
0.000 0.500 0.000
0.500 0.000 0.000
0.500 0.500 0.500
```

## Properties
- E_form (eV/atom) = 2.10
- theoretical density (kg/m³) = 9192
- crystal system = tetragonal
- electronic total energy (eV per atom) = -6.039